(1)
## CsNa2AgPd (GGA-PBE)

Data for CsNa2AgPd after structural relaxation.

a = 6.499 Å, b = 5.369 Å, c = 6.499 Å
α = 90.00°, β = 90.00°, γ = 90.00°
Atoms (fractional coordinates):
Cs  0.000  0.000  0.000
Na  0.000  0.000  0.500
Na  0.500  0.000  0.000
Pd  0.000  0.500  0.000
Ag  0.500  0.500  0.500

Calculated values
Electronic total energy ... -7.36 eV for the cell shown
DOS(E_F) ... 1.898 states/eV per cell
SG ... P4/mmm
Energy relative to the lowest polymorph listed for this composition ... 0.7935 eV per atom
Formation energy from the elements ... 836 meV per atom

(2)
## Cs2NaAgPt (GGA-PBE)

Data for Cs2NaAgPt after structural relaxation.

a = 6.725 Å, b = 6.725 Å, c = 5.291 Å
α = 90.00°, β = 90.00°, γ = 90.00°
Atoms (fractional coordinates):
Cs  0.000  0.500  0.000
Cs  0.500  0.000  0.000
Na  0.500  0.500  0.500
Ag  0.000  0.000  0.500
Pt  0.000  0.000  0.000

Calculated values
Electronic total energy ... -11.04 eV for the cell shown
DOS(E_F) ... 1.910 states/eV per cell
SG ... P4/mmm
Energy relative to the lowest polymorph listed for this composition ... 0.0638 eV per atom
Formation energy from the elements ... 175 meV per atom

(3)
## Cs2NaAgPt (GGA-PBE)

Data for Cs2NaAgPt after structural relaxation.

a = 6.682 Å, b = 6.682 Å, c = 5.498 Å
α = 90.00°, β = 90.00°, γ = 90.00°
Atoms (fractional coordinates):
Cs  0.000  0.500  0.000
Cs  0.500  0.000  0.000
Na  0.000  0.000  0.500
Ag  0.500  0.500  0.500
Pt  0.000  0.000  0.000

Calculated values
Electronic total energy ... -11.36 eV for the cell shown
SG ... P4/mmm
Energy relative to the lowest polymorph listed for this composition ... 0.0000 eV per atom
Formation energy from the elements ... 112 meV per atom

(4)
## CsNa2AgPt (GGA-PBE)

Data for CsNa2AgPt after structural relaxation.

a = 5.554 Å, b = 5.554 Å, c = 5.391 Å
α = 90.00°, β = 90.00°, γ = 90.00°
Atoms (fractional coordinates):
Cs  0.500  0.500  0.500
Na  0.000  0.500  0.000
Na  0.500  0.000  0.000
Ag  0.000  0.000  0.500
Pt  0.000  0.000  0.000

Calculated values
Electronic total energy ... -12.25 eV for the cell shown
DOS(E_F) ... 1.281 states/eV per cell
SG ... P4/mmm
Formation energy from the elements ... 26 meV per atom

(5)
## Cs2RbNaAg (GGA-PBE)

Data for Cs2RbNaAg after structural relaxation.

a = 7.280 Å, b = 7.280 Å, c = 7.024 Å
α = 90.00°, β = 90.00°, γ = 90.00°
Atoms (fractional coordinates):
Cs  0.000  0.500  0.000
Cs  0.500  0.000  0.000
Na  0.500  0.500  0.500
Rb  0.000  0.000  0.500
Ag  0.000  0.000  0.000

Calculated values
Electronic total energy ... -6.47 eV for the cell shown
DOS(E_F) ... 5.324 states/eV per cell
SG ... P4/mmm
Energy relative to the lowest polymorph listed for this composition ... 0.0169 eV per atom
Formation energy from the elements ... 76 meV per atom

(6)
## CsRbNa2Ag (GGA-PBE)

Data for CsRbNa2Ag after structural relaxation.

a = 6.222 Å, b = 6.222 Å, c = 6.804 Å
α = 90.00°, β = 90.00°, γ = 90.00°
Atoms (fractional coordinates):
Cs  0.500  0.500  0.500
Na  0.000  0.500  0.000
Na  0.500  0.000  0.000
Rb  0.000  0.000  0.500
Ag  0.000  0.000  0.000

Calculated values
Electronic total energy ... -6.95 eV for the cell shown
DOS(E_F) ... 1.540 states/eV per cell
SG ... P4/mmm
Energy relative to the lowest polymorph listed for this composition ... 0.0000 eV per atom
Formation energy from the elements ... 72 meV per atom